# 1
Here is crystalline AgMoP2 at its relaxed geometry from the Alexandria database. Energies are from GGA-PBE.

POSCAR file:
```
AgMoP2
1.0
3.2949 0.0000 0.0000
0.0000 4.5750 0.0000
-0.7785 0.0000 4.2785
Ag Mo P
1 1 2
direct
0.0000 0.0000 0.0000
0.4756 0.5000 0.7338
0.3922 0.0000 0.5426
0.8446 0.5000 0.2958
```

Values from the calculation:
E above lowest polymorph: 0.210 eV per atom
ΔE_f: 0.147 eV/atom
calculated total energy: -5.98 eV/atom
spin magnetization: 0.00 μB per formula unit

# 2
Here is crystalline PrSeF at its relaxed geometry from the Alexandria database. Energies are from GGA-PBE.

POSCAR file:
```
PrSeF
1.0
0.0000 3.3216 3.3216
3.3216 0.0000 3.3216
3.3216 3.3216 0.0000
Pr Se F
1 1 1
direct
0.0000 0.0000 0.0000
0.7500 0.7500 0.7500
0.2500 0.2500 0.2500
```

Values from the calculation:
raw formation energy: -2607 meV per atom
calculated total energy: -5.98 eV/atom
spin magnetization: 0.00 μB per formula unit

# 3
Here is crystalline LiTlZn at its relaxed geometry from the Alexandria database. Energies are from GGA-PBE.

POSCAR file:
```
LiTlZn
1.0
4.7025 0.0000 0.0000
-2.3512 4.0724 0.0000
0.0000 0.0000 3.2523
Li Tl Zn
1 1 1
direct
0.0000 0.0000 0.0000
0.6667 0.3333 0.4992
0.3333 0.6667 0.5019
```

Values from the calculation:
E above lowest polymorph: 0.020 eV per atom
ΔE_f: -0.076 eV/atom
calculated total energy: -1.93 eV/atom
spin magnetization: 0.00 μB per formula unit

# 4
Here is crystalline Pm2ScAl4Pt3 at its relaxed geometry from the Alexandria database. Energies are from GGA-PBE.

POSCAR file:
```
Pm2ScAl4Pt3
1.0
4.2185 0.0000 0.0000
0.0000 4.2185 0.0000
0.0000 0.0000 11.2610
Pm Sc Al Pt
2 1 4 3
direct
0.0000 0.5000 0.2368
0.5000 0.0000 0.7632
0.0000 0.0000 0.5000
0.0000 0.0000 0.0000
0.0000 0.5000 0.6555
0.5000 0.0000 0.3445
0.5000 0.5000 0.0000
0.0000 0.5000 0.8746
0.5000 0.0000 0.1254
0.5000 0.5000 0.5000
```

Values from the calculation:
ΔE_f: -0.957 eV/atom
calculated total energy: -5.85 eV/atom
spin magnetization: 0.00 μB per formula unit

# 5
Here is crystalline CdSbAs2 at its relaxed geometry from the Alexandria database. Energies are from GGA-PBE.

POSCAR file:
```
CdSbAs2
1.0
1.8669 -2.4826 0.0000
1.8669 2.4826 0.0000
0.0000 0.0000 9.6855
Cd Sb As
1 1 2
direct
0.0000 0.0000 0.0000
0.0000 0.0000 0.5000
0.5000 0.5000 0.2352
0.5000 0.5000 0.7648
```

Values from the calculation:
raw formation energy: 307 meV per atom
E above lowest polymorph: 0.262 eV per atom
calculated total energy: -3.28 eV/atom
spin magnetization: 0.00 μB per formula unit

# 6
Here is crystalline MgScZnP2 at its relaxed geometry from the Alexandria database. Energies are from GGA-PBE.

POSCAR file:
```
MgScZnP2
1.0
4.6658 0.0000 0.0000
0.0000 4.6658 0.0000
0.0000 0.0000 4.9334
Mg Sc Zn P
1 1 1 2
direct
0.0000 0.0000 0.0000
0.5000 0.5000 0.0000
0.5000 0.5000 0.5000
0.0000 0.5000 0.5000
0.5000 0.0000 0.5000
```

Values from the calculation:
ΔE_f: 0.436 eV/atom
calculated total energy: -3.57 eV/atom
spin magnetization: 0.00 μB per formula unit

# 7
Here is crystalline HPtClF2 at its relaxed geometry from the Alexandria database. Energies are from GGA-PBE.

POSCAR file:
```
HPtClF2
1.0
3.4482 0.0000 0.0000
0.0000 3.4482 0.0000
0.0000 0.0000 4.8882
H Pt Cl F
1 1 1 2
direct
0.0000 0.0000 0.0000
0.5000 0.5000 0.5000
0.0000 0.0000 0.5000
0.0000 0.5000 0.0000
0.5000 0.0000 0.0000
```

Values from the calculation:
calculated total energy: -2.96 eV/atom
spin magnetization: 0.73 μB per formula unit

# 8
Here is crystalline Ac8Ga3PbI4 at its relaxed geometry from the Alexandria database. Energies are from GGA-PBE.

POSCAR file:
```
Ac8Ga3PbI4
1.0
4.7947 2.7682 7.8523
-4.7947 2.7682 7.8523
0.0000 -5.5364 7.8523
Ac Ga Pb I
8 3 1 4
direct
0.2261 0.7432 0.7432
0.2351 0.2351 0.2351
0.2568 0.2568 0.7739
0.2568 0.7739 0.2568
0.7432 0.2261 0.7432
0.7432 0.7432 0.2261
0.7649 0.7649 0.7649
0.7739 0.2568 0.2568
0.0000 0.0000 0.5000
0.0000 0.5000 0.0000
0.5000 0.0000 0.0000
0.5000 0.5000 0.5000
0.0000 0.0000 0.0000
0.0000 0.5000 0.5000
0.5000 0.0000 0.5000
0.5000 0.5000 0.0000
```

Values from the calculation:
raw formation energy: -772 meV per atom
calculated total energy: -4.01 eV/atom
spin magnetization: 0.00 μB per formula unit

# 9
Here is crystalline PuGa2Pt at its relaxed geometry from the Alexandria database. Energies are from GGA-PBE.

POSCAR file:
```
PuGa2Pt
1.0
4.1298 0.0000 0.0000
0.0000 4.1298 0.0000
0.0000 0.0000 4.5534
Pu Ga Pt
1 2 1
direct
0.0000 0.0000 0.0000
0.0000 0.5000 0.5000
0.5000 0.0000 0.5000
0.5000 0.5000 0.0000
```

Values from the calculation:
ΔE_f: -0.452 eV/atom
calculated total energy: -7.06 eV/atom
spin magnetization: 5.26 μB per formula unit

# 10
Here is crystalline Sn2Ru2Pt at its relaxed geometry from the Alexandria database. Energies are from GGA-PBE.

POSCAR file:
```
Sn2Ru2Pt
1.0
7.3610 0.0000 0.0000
0.0000 7.3610 0.0000
0.0000 0.0000 3.2298
Sn Ru Pt
4 4 2
direct
0.1673 0.3327 0.0000
0.3327 0.8327 0.0000
0.6673 0.1673 0.0000
0.8327 0.6673 0.0000
0.1332 0.6332 0.5000
0.3668 0.1332 0.5000
0.6332 0.8668 0.5000
0.8668 0.3668 0.5000
0.0000 0.0000 0.5000
0.5000 0.5000 0.5000
```

Values from the calculation:
ΔE_f: 0.015 eV/atom
calculated total energy: -6.50 eV/atom
spin magnetization: 0.00 μB per formula unit

# 11
Here is crystalline Hf2Ga2Sn at its relaxed geometry from the Alexandria database. Energies are from GGA-PBE.

POSCAR file:
```
Hf2Ga2Sn
1.0
7.8442 0.0000 0.0000
0.0000 7.8442 0.0000
0.0000 0.0000 3.3923
Hf Ga Sn
4 4 2
direct
0.1351 0.3649 0.0000
0.3649 0.8649 0.0000
0.6351 0.1351 0.0000
0.8649 0.6351 0.0000
0.1679 0.6679 0.5000
0.3321 0.1679 0.5000
0.6679 0.8321 0.5000
0.8321 0.3321 0.5000
0.0000 0.0000 0.0000
0.5000 0.5000 0.0000
```

Values from the calculation:
E above lowest polymorph: 0.121 eV per atom
ΔE_f: -0.144 eV/atom
calculated total energy: -6.14 eV/atom
spin magnetization: 0.00 μB per formula unit

# 12
Here is crystalline Pr5Tm2Ge4 at its relaxed geometry from the Alexandria database. Energies are from GGA-PBE.

POSCAR file:
```
Pr5Tm2Ge4
1.0
10.7559 -1.9268 0.0000
10.7559 1.9268 0.0000
-0.7675 0.0000 8.3005
Pr Tm Ge
5 2 4
direct
0.0000 0.0000 0.0000
0.3370 0.3370 0.0276
0.3993 0.3993 0.5749
0.6007 0.6007 0.4251
0.6630 0.6630 0.9724
0.2323 0.2323 0.6594
0.7677 0.7677 0.3406
0.1048 0.1048 0.7153
0.4709 0.4709 0.2682
0.5291 0.5291 0.7318
0.8952 0.8952 0.2847
```

Values from the calculation:
ΔE_f: -0.283 eV/atom
calculated total energy: -4.95 eV/atom
spin magnetization: 0.00 μB per formula unit

# 13
Here is crystalline BePS2I at its relaxed geometry from the Alexandria database. Energies are from GGA-PBE.

POSCAR file:
```
BePS2I
1.0
5.0202 0.0000 0.0000
0.0000 5.0202 0.0000
0.0000 0.0000 5.2595
Be P S I
1 1 2 1
direct
0.0000 0.0000 0.0000
0.5000 0.5000 0.0000
0.0000 0.5000 0.5000
0.5000 0.0000 0.5000
0.5000 0.5000 0.5000
```

Values from the calculation:
raw formation energy: 1607 meV per atom
E above lowest polymorph: 1.039 eV per atom
calculated total energy: -2.18 eV/atom
spin magnetization: 0.30 μB per formula unit

# 14
Here is crystalline PuCdSnPb at its relaxed geometry from the Alexandria database. Energies are from GGA-PBE.

POSCAR file:
```
PuCdSnPb
1.0
0.0000 3.8224 3.8224
3.8224 0.0000 3.8224
3.8224 3.8224 0.0000
Pu Cd Sn Pb
1 1 1 1
direct
0.0000 0.0000 0.0000
0.7500 0.7500 0.7500
0.2500 0.2500 0.2500
0.5000 0.5000 0.5000
```

Values from the calculation:
E above lowest polymorph: 0.192 eV per atom
ΔE_f: -0.026 eV/atom
calculated total energy: -5.77 eV/atom
spin magnetization: 5.90 μB per formula unit

# 15
Here is crystalline Tl4Sb2H3 at its relaxed geometry from the Alexandria database. Energies are from GGA-PBE.

POSCAR file:
```
Tl4Sb2H3
1.0
4.6552 0.0000 0.0000
-0.5839 5.3176 0.0000
-1.9163 -2.3345 9.2667
Tl Sb H
4 2 3
direct
0.1337 0.2045 0.3646
0.2646 0.2238 0.0105
0.7354 0.7762 0.9895
0.8663 0.7955 0.6354
0.3171 0.3636 0.7147
0.6829 0.6364 0.2853
0.0000 0.5000 0.0000
0.3771 0.7837 0.3233
0.6229 0.2163 0.6767
```

Values from the calculation:
calculated total energy: -2.89 eV/atom
spin magnetization: 0.00 μB per formula unit

# 16
Here is crystalline Nb4W at its relaxed geometry from the Alexandria database. Energies are from GGA-PBE.

POSCAR file:
```
Nb4W
1.0
4.8249 0.0000 0.0000
0.0000 4.8249 0.0000
0.0000 0.0000 4.8249
Nb W
4 1
direct
0.0000 0.0000 0.0000
0.0000 0.5000 0.5000
0.5000 0.0000 0.5000
0.5000 0.5000 0.0000
0.5000 0.5000 0.5000
```

Values from the calculation:
E above lowest polymorph: 0.986 eV per atom
ΔE_f: 1.433 eV/atom
calculated total energy: -9.21 eV/atom
spin magnetization: 0.00 μB per formula unit